Entry 1:
{
  "formula": "TeAuSeI2",
  "functional": "PBE-GGA",
  "state": "relaxed",
  "lattice": [[5.546, 0.000, 0.000], [0.000, 5.546, 0.000], [0.000, 0.000, 5.727]],
  "species": ["Te", "Au", "Se", "I", "I"],
  "fractional_positions": [[0.000, 0.000, 0.000], [0.500, 0.500, 0.000], [0.000, 0.000, 0.500], [0.000, 0.500, 0.500], [0.500, 0.000, 0.500]],
  "magnetic_moment_mub_per_cell": 0.000,
  "sg": "P4/mmm, No. 123",
  "e_above_lowest_polymorph_ev_per_fu": 0.339,
  "crystal_system": "tetragonal",
  "final_energy_ev_per_atom": -1.95
}

***

Entry 2:
{
  "formula": "Te2AuSe2I2",
  "functional": "PBE-GGA",
  "state": "relaxed",
  "lattice": [[14.573, 0.000, 0.000], [0.000, 5.136, 0.000], [-2.231, 0.000, 7.941]],
  "species": ["Te", "Te", "Te", "Te", "Au", "Au", "Se", "Se", "Se", "Se", "I", "I", "I", "I"],
  "fractional_positions": [[0.221, 0.000, 0.200], [0.279, 0.500, 0.800], [0.721, 0.500, 0.200], [0.779, 0.000, 0.800], [0.000, 0.500, 0.000], [0.500, 0.000, 0.000], [0.173, 0.500, 0.078], [0.327, 0.000, 0.922], [0.673, 0.000, 0.078], [0.827, 0.500, 0.922], [0.103, 0.000, 0.419], [0.397, 0.500, 0.581], [0.603, 0.500, 0.419], [0.897, 0.000, 0.581]],
  "magnetic_moment_mub_per_cell": 0.000,
  "sg": "C2/m, No. 12",
  "crystal_system": "monoclinic",
  "final_energy_ev_per_atom": -2.79
}

***

Entry 3:
{
  "formula": "Te2AuSeI",
  "functional": "PBE-GGA",
  "state": "relaxed",
  "lattice": [[5.564, 0.000, 0.000], [0.000, 5.564, 0.000], [0.000, 0.000, 5.423]],
  "species": ["Te", "Te", "Au", "Se", "I"],
  "fractional_positions": [[0.000, 0.500, 0.000], [0.500, 0.000, 0.000], [0.000, 0.000, 0.500], [0.500, 0.500, 0.000], [0.500, 0.500, 0.500]],
  "magnetic_moment_mub_per_cell": 0.000,
  "sg": "P4/mmm, No. 123",
  "e_above_lowest_polymorph_ev_per_fu": 0.365,
  "crystal_system": "tetragonal",
  "final_energy_ev_per_atom": -2.20
}